No. 1
First-principles (GGA-PBE) data for KZn2CrSi after structural relaxation, as listed in Alexandria.

Output
SG = P4/mmm, No. 123

Cell: 5.591 5.920 5.591 Å, 90.00 90.00 90.00°
Last column: magnetic moment on the atom in μB.
Fractional positions:
Zn 0.500 0.000 0.000  -0.03
Zn 0.000 0.000 0.500  -0.02
Cr 0.000 0.500 0.000  4.32
Si 0.500 0.500 0.500  -0.41
K 0.000 0.000 0.000  0.04


No. 2
First-principles (GGA-PBE) data for KZr2CrSi after structural relaxation, as listed in Alexandria.

Output
SG = P4/mmm, No. 123

Cell: 4.918 4.771 4.918 Å, 90.00 90.00 90.00°
Fractional positions:
Cr 0.000 0.000 0.000
Zr 0.500 0.000 0.000
Zr 0.000 0.000 0.500
K 0.500 0.500 0.500
Si 0.000 0.500 0.000


No. 3
First-principles (GGA-PBE) data for K2CrSn2 after structural relaxation, as listed in Alexandria.

Output
SG = P4/mbm, No. 127
ΔH_f (0 K) = 0.182 eV/atom

Cell: 7.374 7.374 5.959 Å, 90.00 90.00 90.00°
Last column: magnetic moment on the atom in μB.
Fractional positions:
K 0.172 0.672 0.500  -0.01
K 0.828 0.328 0.500  -0.01
K 0.328 0.172 0.500  -0.01
K 0.672 0.828 0.500  -0.01
Sn 0.143 0.357 0.000  -0.03
Sn 0.643 0.143 0.000  -0.03
Sn 0.357 0.857 0.000  -0.03
Sn 0.857 0.643 0.000  -0.03
Cr 0.000 0.000 0.000  3.74
Cr 0.500 0.500 0.000  3.74


Number 1: E_tot -1.9910 eV per atom, V 37.012 A^3/atom. Number 2: E_tot -6.0877 eV per atom, V 23.080 A^3/atom. Number 3: E_tot -3.7830 eV per atom, V 32.407 A^3/atom.